Run 1
DFT (PBE) results for crystalline BaMo at its relaxed geometry.

a = 4.8470 Å, b = 4.8470 Å, c = 4.8470 Å
α = 60.00°, β = 60.00°, γ = 60.00°
With the nearest neighbours (Å) after each atom.
Atoms (fractional coordinates):
Ba  0.0000  0.0000  0.0000  6 Mo 3.43
Mo  0.5000  0.5000  0.5000  6 Ba 3.43

---

Run 2
DFT (PBE) results for crystalline BaMo at its relaxed geometry.

a = 3.1752 Å, b = 3.1752 Å, c = 5.8486 Å
α = 90.00°, β = 90.00°, γ = 120.00°
With the nearest neighbours (Å) after each atom.
Atoms (fractional coordinates):
Ba  0.0000  0.0000  0.0000  6 Ba 3.18, 6 Mo 3.45
Mo  0.6667  0.3333  0.5000  6 Mo 3.18, 6 Ba 3.45

---

Ordering by calculated energy gives the sequence run 2, run 1, with the first entry being the most stable.

---

Run 1
DFT (PBE) results for crystalline BaMoPd at its relaxed geometry.

a = 4.9627 Å, b = 4.9627 Å, c = 4.9627 Å
α = 60.00°, β = 60.00°, γ = 60.00°
With the nearest neighbours (Å) after each atom.
Atoms (fractional coordinates):
Ba  0.0000  0.0000  0.0000  4 Mo 3.04, 4 Pd 3.04
Mo  0.7500  0.7500  0.7500  4 Ba 3.04
Pd  0.2500  0.2500  0.2500  4 Ba 3.04

---

Run 2
DFT (PBE) results for crystalline BaMoPd at its relaxed geometry.

a = 5.0045 Å, b = 5.0045 Å, c = 5.0045 Å
α = 60.00°, β = 60.00°, γ = 60.00°
With the nearest neighbours (Å) after each atom.
Atoms (fractional coordinates):
Ba  0.0000  0.0000  0.0000  4 Pd 3.06
Mo  0.5000  0.5000  0.5000  4 Pd 3.06
Pd  0.2500  0.2500  0.2500  4 Mo 3.06, 4 Ba 3.06

---

Ordering by calculated energy gives the sequence run 2, run 1, with the first entry being the most stable.

---

Run 1
DFT (PBE) results for crystalline Ba2TbMo2 at its relaxed geometry.

a = 7.9873 Å, b = 7.9873 Å, c = 7.9873 Å
α = 145.77°, β = 145.77°, γ = 49.18°
With the nearest neighbours (Å) after each atom.
Atoms (fractional coordinates):
Ba  0.2500  0.7500  0.5000  4 Ba 3.32, 4 Mo 3.49
Ba  0.7500  0.2500  0.5000  4 Ba 3.32, 4 Mo 3.49
Tb  0.0000  0.0000  0.0000  8 Mo 3.48
Mo  0.4280  0.4280  0.0000  1 Mo 2.09
Mo  0.5720  0.5720  0.0000  1 Mo 2.09

---

Run 2
DFT (PBE) results for crystalline Ba2TbMo2 at its relaxed geometry.

a = 10.5226 Å, b = 10.5226 Å, c = 10.5226 Å
α = 159.56°, β = 159.56°, γ = 29.06°
With the nearest neighbours (Å) after each atom.
Atoms (fractional coordinates):
Ba  0.1198  0.1198  0.0000  4 Mo 3.24, 4 Tb 3.60
Ba  0.8802  0.8802  0.0000  4 Mo 3.24, 4 Tb 3.60
Tb  0.5000  0.5000  0.0000  8 Ba 3.60, 4 Tb 3.73
Mo  0.2500  0.7500  0.5000  4 Mo 2.64
Mo  0.7500  0.2500  0.5000  4 Mo 2.64

---

Ordering by calculated energy gives the sequence run 2, run 1, with the first entry being the most stable.

---

Run 1
DFT (PBE) results for crystalline BaNdNO at its relaxed geometry.

a = 5.2822 Å, b = 5.2822 Å, c = 5.4950 Å
α = 90.00°, β = 90.00°, γ = 90.00°
With the nearest neighbours (Å) after each atom.
Atoms (fractional coordinates):
Ba  0.2500  0.2500  0.0025  4 O 2.64, 2 N 2.74-2.76
Ba  0.7500  0.7500  0.9975  4 O 2.64, 2 N 2.74-2.76
Nd  0.2500  0.7500  0.5000  4 N 2.64, 2 O 2.75
Nd  0.7500  0.2500  0.5000  4 N 2.64, 2 O 2.75
N  0.2500  0.2500  0.5045  4 Nd 2.64, 2 Ba 2.74-2.76
N  0.7500  0.7500  0.4955  4 Nd 2.64, 2 Ba 2.74-2.76
O  0.2500  0.7500  0.0000  4 Ba 2.64, 2 Nd 2.75
O  0.7500  0.2500  0.0000  4 Ba 2.64, 2 Nd 2.75

---

Run 2
DFT (PBE) results for crystalline BaNdNO at its relaxed geometry.

a = 4.1583 Å, b = 7.2663 Å, c = 6.1582 Å
α = 90.00°, β = 90.00°, γ = 90.00°
With the nearest neighbours (Å) after each atom.
Atoms (fractional coordinates):
Ba  0.0000  0.1754  0.0000  2 N 2.60, 2 O 2.70
Ba  0.0000  0.8246  0.5000  2 N 2.60, 2 O 2.70
Nd  0.5000  0.3397  0.5039  2 N 2.30, 2 O 2.37
Nd  0.5000  0.6603  0.0039  2 N 2.30, 2 O 2.37
N  0.5000  0.3629  0.8760  2 Nd 2.30
N  0.5000  0.6371  0.3760  2 Nd 2.30
O  0.0000  0.1923  0.4383  2 Nd 2.37
O  0.0000  0.8077  0.9383  2 Nd 2.37

---

Run 3
DFT (PBE) results for crystalline BaNdNO at its relaxed geometry.

a = 3.9931 Å, b = 7.3449 Å, c = 6.3935 Å
α = 90.00°, β = 90.00°, γ = 90.00°
With the nearest neighbours (Å) after each atom.
Atoms (fractional coordinates):
Ba  0.0000  0.1636  0.0000  2 O 2.61, 2 N 2.69-2.71
Ba  0.0000  0.8364  0.5000  2 O 2.61, 2 N 2.69-2.71
Nd  0.5000  0.3445  0.5092  2 O 2.31-2.32, 2 N 2.34
Nd  0.5000  0.6555  0.0092  2 O 2.31-2.32, 2 N 2.34
N  0.0000  0.1964  0.4219  2 Nd 2.34
N  0.0000  0.8036  0.9219  2 Nd 2.34
O  0.5000  0.3634  0.8699  2 Nd 2.31-2.32
O  0.5000  0.6366  0.3699  2 Nd 2.31-2.32

---

Run 4
DFT (PBE) results for crystalline BaNdNO at its relaxed geometry.

a = 7.0287 Å, b = 8.5359 Å, c = 6.3026 Å
α = 90.00°, β = 90.00°, γ = 90.00°
With the nearest neighbours (Å) after each atom.
Atoms (fractional coordinates):
Ba  0.0797  0.1288  0.0000  3 N 2.68-2.74, 1 O 2.78
Ba  0.4203  0.1288  0.5000  3 N 2.68-2.74, 1 O 2.78
Ba  0.5797  0.8712  0.0000  3 N 2.68-2.74, 1 O 2.78
Ba  0.9203  0.8712  0.5000  3 N 2.68-2.74, 1 O 2.78
Nd  0.0860  0.6117  0.9862  1 N 2.19, 3 O 2.34-2.35
Nd  0.4140  0.6117  0.4862  1 N 2.19, 3 O 2.34-2.35
Nd  0.5860  0.3883  0.9862  1 N 2.19, 3 O 2.34-2.35
Nd  0.9140  0.3883  0.4862  1 N 2.19, 3 O 2.34-2.35
N  0.0451  0.1640  0.5692  1 Nd 2.19
N  0.4549  0.1640  0.0692  1 Nd 2.19
N  0.5451  0.8360  0.5692  1 Nd 2.19
N  0.9549  0.8360  0.0692  1 Nd 2.19
O  0.1024  0.5948  0.6165  3 Nd 2.34-2.35
O  0.3976  0.5948  0.1164  3 Nd 2.34-2.35
O  0.6024  0.4052  0.6165  3 Nd 2.34-2.35
O  0.8976  0.4052  0.1164  3 Nd 2.34-2.35

---

Ordering by calculated energy gives the sequence run 2, run 3, run 4, run 1, with the first entry being the most stable.

---

Run 1
DFT (PBE) results for crystalline BaNdNO at its relaxed geometry.

a = 5.1027 Å, b = 5.1027 Å, c = 6.4082 Å
α = 90.00°, β = 90.00°, γ = 90.00°
With the nearest neighbours (Å) after each atom.
Atoms (fractional coordinates):
Ba  0.2500  0.7500  0.0000  4 N 2.70
Ba  0.7500  0.2500  0.0000  4 N 2.70
Nd  0.2500  0.2500  0.4681  1 N 2.13
Nd  0.7500  0.7500  0.5319  1 N 2.13
N  0.2500  0.2500  0.1365  1 Nd 2.13
N  0.7500  0.7500  0.8635  1 Nd 2.13
O  0.2500  0.7500  0.5000  4 Nd 2.56
O  0.7500  0.2500  0.5000  4 Nd 2.56

---

Run 2
DFT (PBE) results for crystalline BaNdNO at its relaxed geometry.

a = 4.3703 Å, b = 4.3703 Å, c = 8.6363 Å
α = 90.00°, β = 90.00°, γ = 90.00°
With the nearest neighbours (Å) after each atom.
Atoms (fractional coordinates):
Ba  0.2500  0.7500  0.0000  4 N 2.67
Ba  0.7500  0.2500  0.0000  4 N 2.67
Nd  0.2500  0.2500  0.3924  4 O 2.37
Nd  0.7500  0.7500  0.6076  4 O 2.37
N  0.2500  0.2500  0.8215  4 Ba 2.67
N  0.7500  0.7500  0.1785  4 Ba 2.67
O  0.2500  0.7500  0.5000  4 Nd 2.37
O  0.7500  0.2500  0.5000  4 Nd 2.37

---

Ordering by calculated energy gives the sequence run 1, run 2, with the first entry being the most stable.

---

Run 1
DFT (PBE) results for crystalline BaReNO at its relaxed geometry.

a = 4.0765 Å, b = 4.0765 Å, c = 9.5792 Å
α = 90.00°, β = 90.00°, γ = 90.00°
With the nearest neighbours (Å) after each atom.
Atoms (fractional coordinates):
Ba  0.2500  0.2500  0.1501  4 O 2.49
Ba  0.7500  0.7500  0.8499  4 O 2.49
Re  0.2500  0.7500  0.5000  4 N 2.04
Re  0.7500  0.2500  0.5000  4 N 2.04
N  0.2500  0.2500  0.5008  4 Re 2.04
N  0.7500  0.7500  0.4992  4 Re 2.04
O  0.2500  0.7500  0.0000  4 Ba 2.49
O  0.7500  0.2500  0.0000  4 Ba 2.49

---

Run 2
DFT (PBE) results for crystalline BaReNO at its relaxed geometry.

a = 6.4403 Å, b = 8.0158 Å, c = 6.1983 Å
α = 90.00°, β = 90.00°, γ = 90.00°
With the nearest neighbours (Å) after each atom.
Atoms (fractional coordinates):
Ba  0.0051  0.1940  0.0000  2 N 2.77-3.10, 2 O 2.92-2.95
Ba  0.4949  0.1940  0.5000  2 N 2.77-3.10, 2 O 2.92-2.95
Ba  0.5051  0.8060  0.0000  2 N 2.77-3.10, 2 O 2.92-2.95
Ba  0.9949  0.8060  0.5000  2 N 2.77-3.10, 2 O 2.92-2.95
Re  0.0021  0.3719  0.5008  1 N 1.77, 2 O 1.91
Re  0.4979  0.3719  0.0008  1 N 1.77, 2 O 1.91
Re  0.5021  0.6281  0.5008  1 N 1.77, 2 O 1.91
Re  0.9979  0.6281  0.0008  1 N 1.77, 2 O 1.91
N  0.0173  0.1509  0.4979  1 Re 1.77
N  0.4827  0.1509  0.9979  1 Re 1.77
N  0.5173  0.8491  0.4979  1 Re 1.77
N  0.9827  0.8491  0.9979  1 Re 1.77
O  0.2487  0.5041  0.5019  2 Re 1.91
O  0.2513  0.5041  0.0019  2 Re 1.91
O  0.7487  0.4959  0.5019  2 Re 1.91
O  0.7513  0.4959  0.0019  2 Re 1.91

---

Run 3
DFT (PBE) results for crystalline BaReNO at its relaxed geometry.

a = 5.9269 Å, b = 3.8515 Å, c = 5.8562 Å
α = 90.00°, β = 90.00°, γ = 90.00°
With the nearest neighbours (Å) after each atom.
Atoms (fractional coordinates):
Ba  0.2500  0.0000  0.2467  4 N 2.78-3.08, 4 O 2.83
Ba  0.7500  0.0000  0.7533  4 N 2.78-3.08, 4 O 2.83
Re  0.2500  0.5000  0.7573  2 N 1.94, 2 O 2.05
Re  0.7500  0.5000  0.2427  2 N 1.94, 2 O 2.05
N  0.2500  0.0000  0.7210  2 Re 1.94
N  0.7500  0.0000  0.2790  2 Re 1.94
O  0.0000  0.5000  0.0000  2 Re 2.05
O  0.5000  0.5000  0.0000  2 Re 2.05

---

Run 4
DFT (PBE) results for crystalline BaReNO at its relaxed geometry.

a = 5.6828 Å, b = 8.3675 Å, c = 5.4328 Å
α = 90.00°, β = 90.00°, γ = 90.00°
With the nearest neighbours (Å) after each atom.
Atoms (fractional coordinates):
Ba  0.0129  0.1570  0.0000  1 N 2.57, 4 O 2.68-2.76
Ba  0.4871  0.1570  0.5000  1 N 2.57, 4 O 2.68-2.76
Ba  0.5129  0.8430  0.0000  1 N 2.57, 4 O 2.68-2.76
Ba  0.9871  0.8430  0.5000  1 N 2.57, 4 O 2.68-2.76
Re  0.0301  0.5738  0.0178  3 N 1.95-1.99, 1 O 2.16
Re  0.4699  0.5738  0.5178  3 N 1.95-1.99, 1 O 2.16
Re  0.5301  0.4262  0.0178  3 N 1.95-1.99, 1 O 2.16
Re  0.9699  0.4262  0.5178  3 N 1.95-1.99, 1 O 2.16
N  0.1677  0.5894  0.6875  3 Re 1.95-1.99
N  0.3323  0.5894  0.1875  3 Re 1.95-1.99
N  0.6677  0.4106  0.6875  3 Re 1.95-1.99
N  0.8323  0.4106  0.1875  3 Re 1.95-1.99
O  0.0110  0.1698  0.5073  1 Re 2.16
O  0.4890  0.1698  0.0073  1 Re 2.16
O  0.5110  0.8302  0.5073  1 Re 2.16
O  0.9890  0.8302  0.0073  1 Re 2.16

---

Ordering by calculated energy gives the sequence run 4, run 3, run 2, run 1, with the first entry being the most stable.

---

Run 1
DFT (PBE) results for crystalline BaSmNO at its relaxed geometry.

a = 3.7016 Å, b = 3.7016 Å, c = 5.4818 Å
α = 90.00°, β = 90.00°, γ = 90.00°
With the nearest neighbours (Å) after each atom.
Atoms (fractional coordinates):
Ba  0.0000  0.0000  0.0000  4 O 2.62, 2 N 2.74
Sm  0.5000  0.5000  0.5000  4 N 2.62, 2 O 2.74
N  0.0000  0.0000  0.5000  4 Sm 2.62, 2 Ba 2.74
O  0.5000  0.5000  0.0000  4 Ba 2.62, 2 Sm 2.74

---

Run 2
DFT (PBE) results for crystalline BaSmNO at its relaxed geometry.

a = 6.9219 Å, b = 8.5246 Å, c = 6.2283 Å
α = 90.00°, β = 90.00°, γ = 90.00°
With the nearest neighbours (Å) after each atom.
Atoms (fractional coordinates):
Ba  0.0766  0.1302  0.0000  3 N 2.68-2.75, 1 O 2.80
Ba  0.4234  0.1302  0.5000  3 N 2.68-2.75, 1 O 2.80
Ba  0.5766  0.8698  0.0000  3 N 2.68-2.75, 1 O 2.80
Ba  0.9234  0.8698  0.5000  3 N 2.68-2.75, 1 O 2.80
Sm  0.0860  0.6100  0.9854  1 N 2.16, 3 O 2.29-2.31
Sm  0.4140  0.6100  0.4854  1 N 2.16, 3 O 2.29-2.31
Sm  0.5860  0.3900  0.9854  1 N 2.16, 3 O 2.29-2.31
Sm  0.9140  0.3900  0.4854  1 N 2.16, 3 O 2.29-2.31
N  0.0414  0.1657  0.5627  1 Sm 2.16
N  0.4586  0.1657  0.0627  1 Sm 2.16
N  0.5414  0.8343  0.5627  1 Sm 2.16
N  0.9586  0.8343  0.0627  1 Sm 2.16
O  0.1053  0.5891  0.6192  3 Sm 2.29-2.31
O  0.3947  0.5891  0.1192  3 Sm 2.29-2.31
O  0.6053  0.4109  0.6192  3 Sm 2.29-2.31
O  0.8947  0.4109  0.1192  3 Sm 2.29-2.31

---

Ordering by calculated energy gives the sequence run 2, run 1, with the first entry being the most stable.

---

Run 1
DFT (PBE) results for crystalline BaTcNO at its relaxed geometry.

a = 4.8989 Å, b = 4.8989 Å, c = 5.6745 Å
α = 90.00°, β = 90.00°, γ = 90.00°
With the nearest neighbours (Å) after each atom.
Atoms (fractional coordinates):
Ba  0.2500  0.7500  0.0000  4 N 2.62, 2 O 2.84
Ba  0.7500  0.2500  0.0000  4 N 2.62, 2 O 2.84
Tc  0.2500  0.2500  0.4827  1 N 1.82
Tc  0.7500  0.7500  0.5173  1 N 1.82
N  0.2500  0.2500  0.1618  1 Tc 1.82
N  0.7500  0.7500  0.8382  1 Tc 1.82
O  0.2500  0.7500  0.5000  4 Tc 2.45
O  0.7500  0.2500  0.5000  4 Tc 2.45

---

Run 2
DFT (PBE) results for crystalline BaTcNO at its relaxed geometry.

a = 3.9066 Å, b = 3.9066 Å, c = 9.6247 Å
α = 90.00°, β = 90.00°, γ = 90.00°
With the nearest neighbours (Å) after each atom.
Atoms (fractional coordinates):
Ba  0.2500  0.2500  0.1563  4 O 2.47
Ba  0.7500  0.7500  0.8437  4 O 2.47
Tc  0.2500  0.7500  0.5000  4 N 2.08
Tc  0.7500  0.2500  0.5000  4 N 2.08
N  0.2500  0.2500  0.5753  4 Tc 2.08
N  0.7500  0.7500  0.4247  4 Tc 2.08
O  0.2500  0.7500  0.0000  4 Ba 2.47
O  0.7500  0.2500  0.0000  4 Ba 2.47

---

Ordering by calculated energy gives the sequence run 2, run 1, with the first entry being the most stable.

---

Run 1
DFT (PBE) results for crystalline BaTcNO at its relaxed geometry.

a = 4.0661 Å, b = 5.7860 Å, c = 5.8574 Å
α = 90.00°, β = 90.00°, γ = 90.00°
With the nearest neighbours (Å) after each atom.
Atoms (fractional coordinates):
Ba  0.0000  0.2337  0.0000  2 O 2.62-2.93
Ba  0.0000  0.7663  0.5000  2 O 2.62-2.93
Tc  0.5000  0.3026  0.5007  2 N 1.86
Tc  0.5000  0.6974  0.0007  2 N 1.86
N  0.5000  0.4993  0.7509  2 Tc 1.86
N  0.5000  0.5007  0.2509  2 Tc 1.86
O  0.0000  0.2186  0.5005  2 Tc 2.09
O  0.0000  0.7814  0.0005  2 Tc 2.09

---

Run 2
DFT (PBE) results for crystalline BaTcNO at its relaxed geometry.

a = 3.7666 Å, b = 5.9966 Å, c = 5.9670 Å
α = 90.00°, β = 90.00°, γ = 90.00°
With the nearest neighbours (Å) after each atom.
Atoms (fractional coordinates):
Ba  0.0000  0.2413  0.0000  3 N 2.76-3.01, 4 O 2.78-2.83
Ba  0.0000  0.7587  0.5000  3 N 2.76-3.01, 4 O 2.78-2.83
Tc  0.5000  0.2372  0.4991  2 N 1.92, 2 O 2.06
Tc  0.5000  0.7628  0.9991  2 N 1.92, 2 O 2.06
N  0.0000  0.2978  0.4987  2 Tc 1.92
N  0.0000  0.7022  0.9987  2 Tc 1.92
O  0.5000  0.0046  0.7530  2 Tc 2.06
O  0.5000  0.9954  0.2530  2 Tc 2.06

---

Ordering by calculated energy gives the sequence run 1, run 2, with the first entry being the most stable.

---

Run 1
DFT (PBE) results for crystalline BaTmNO at its relaxed geometry.

a = 3.8618 Å, b = 7.1615 Å, c = 6.1633 Å
α = 90.00°, β = 90.00°, γ = 90.00°
With the nearest neighbours (Å) after each atom.
Atoms (fractional coordinates):
Ba  0.0000  0.1698  0.0000  2 O 2.61, 2 N 2.70-2.74
Ba  0.0000  0.8302  0.5000  2 O 2.61, 2 N 2.70-2.74
Tm  0.5000  0.3458  0.5138  2 O 2.15-2.16, 2 N 2.22
Tm  0.5000  0.6542  0.0138  2 O 2.15-2.16, 2 N 2.22
N  0.0000  0.2044  0.4429  2 Tm 2.22
N  0.0000  0.7956  0.9429  2 Tm 2.22
O  0.5000  0.3835  0.8600  2 Tm 2.15-2.16
O  0.5000  0.6165  0.3600  2 Tm 2.15-2.16

---

Run 2
DFT (PBE) results for crystalline BaTmNO at its relaxed geometry.

a = 4.5947 Å, b = 4.5947 Å, c = 8.4644 Å
α = 90.00°, β = 90.00°, γ = 90.00°
With the nearest neighbours (Å) after each atom.
Atoms (fractional coordinates):
Ba  0.2500  0.2500  0.1244  4 O 2.53
Ba  0.7500  0.7500  0.8756  4 O 2.53
Tm  0.2500  0.7500  0.5000  4 N 2.31
Tm  0.7500  0.2500  0.5000  4 N 2.31
N  0.2500  0.2500  0.5286  4 Tm 2.31
N  0.7500  0.7500  0.4714  4 Tm 2.31
O  0.2500  0.7500  0.0000  4 Ba 2.53
O  0.7500  0.2500  0.0000  4 Ba 2.53

---

Ordering by calculated energy gives the sequence run 1, run 2, with the first entry being the most stable.